# 1
VASP calculation (PBE-GGA) on a relaxed SrSb2TePt crystal.

a b c (Å): 5.258 5.258 5.728
angles (deg): 90.00 90.00 90.00
Element x y z (fractional)
Sr1 0.000 0.000 0.000
Sb1 0.000 0.500 0.500
Sb2 0.500 0.000 0.500
Te1 0.500 0.500 0.000
Pt1 0.500 0.500 0.500

Calculated values
Volume in Å³ per atom: 31.68
Energy relative to the elements, uncorrected in eV per atom: -0.29
Energy above the lowest structure with this stoichiometry in meV/atom: 0.0


# 2
VASP calculation (PBE-GGA) on a relaxed Sr2TmSb3Pt4 crystal.

a b c (Å): 4.616 4.616 11.310
angles (deg): 90.00 90.00 90.00
Element x y z (fractional)
Sr1 0.000 0.500 0.228
Sr2 0.500 0.000 0.772
Tm1 0.000 0.000 0.500
Sb1 0.000 0.500 0.874
Sb2 0.500 0.000 0.126
Sb3 0.500 0.500 0.500
Pt1 0.000 0.000 0.000
Pt2 0.000 0.500 0.640
Pt3 0.500 0.000 0.360
Pt4 0.500 0.500 0.000

Calculated values
Volume in Å³ per atom: 24.10
Energy relative to the elements, uncorrected in eV per atom: -0.91


# 3
VASP calculation (PBE-GGA) on a relaxed Sr2TmSb4Pt3 crystal.

a b c (Å): 4.637 4.637 11.847
angles (deg): 90.00 90.00 90.00
Element x y z (fractional)
Sr1 0.000 0.500 0.238
Sr2 0.500 0.000 0.762
Tm1 0.000 0.000 0.500
Sb1 0.000 0.000 0.000
Sb2 0.000 0.500 0.651
Sb3 0.500 0.000 0.349
Sb4 0.500 0.500 0.000
Pt1 0.000 0.500 0.878
Pt2 0.500 0.000 0.122
Pt3 0.500 0.500 0.500

Calculated values
Volume in Å³ per atom: 25.48
Energy relative to the elements, uncorrected in eV per atom: -0.84


# 4
VASP calculation (PBE-GGA) on a relaxed SrV2SbPt crystal.

a b c (Å): 5.140 5.140 5.143
angles (deg): 90.00 90.00 90.00
Element x y z (fractional)
Sr1 0.000 0.000 0.000
V1 0.000 0.500 0.500
V2 0.500 0.000 0.500
Sb1 0.500 0.500 0.500
Pt1 0.500 0.500 0.000

Calculated values
Volume in Å³ per atom: 27.17
Energy relative to the elements, uncorrected in eV per atom: 0.59


# 5
VASP calculation (PBE-GGA) on a relaxed Sr2YSb3Pt4 crystal.

a b c (Å): 4.618 4.618 11.400
angles (deg): 90.00 90.00 90.00
Element x y z (fractional)
Sr1 0.000 0.500 0.226
Sr2 0.500 0.000 0.774
Y1 0.000 0.000 0.500
Sb1 0.000 0.500 0.876
Sb2 0.500 0.000 0.124
Sb3 0.500 0.500 0.500
Pt1 0.000 0.000 0.000
Pt2 0.000 0.500 0.644
Pt3 0.500 0.000 0.356
Pt4 0.500 0.500 0.000

Calculated values
Volume in Å³ per atom: 24.32
Energy relative to the elements, uncorrected in eV per atom: -0.89


# 6
VASP calculation (PBE-GGA) on a relaxed Sr2ZnSb3Pt4 crystal.

a b c (Å): 4.668 4.668 10.492
angles (deg): 90.00 90.00 90.00
Element x y z (fractional)
Sr1 0.000 0.500 0.249
Sr2 0.500 0.000 0.751
Zn1 0.000 0.000 0.500
Sb1 0.000 0.500 0.871
Sb2 0.500 0.000 0.129
Sb3 0.500 0.500 0.500
Pt1 0.000 0.000 0.000
Pt2 0.000 0.500 0.618
Pt3 0.500 0.000 0.382
Pt4 0.500 0.500 0.000

Calculated values
Volume in Å³ per atom: 22.87
Energy relative to the elements, uncorrected in eV per atom: -0.79


# 7
VASP calculation (PBE-GGA) on a relaxed Sr2ZnSb4Pt3 crystal.

a b c (Å): 4.685 4.685 10.991
angles (deg): 90.00 90.00 90.00
Element x y z (fractional)
Sr1 0.000 0.500 0.246
Sr2 0.500 0.000 0.754
Zn1 0.500 0.500 0.000
Sb1 0.000 0.000 0.500
Sb2 0.000 0.500 0.867
Sb3 0.500 0.000 0.133
Sb4 0.500 0.500 0.500
Pt1 0.000 0.000 0.000
Pt2 0.000 0.500 0.626
Pt3 0.500 0.000 0.374

Calculated values
Volume in Å³ per atom: 24.13
Energy relative to the elements, uncorrected in eV per atom: -0.71


# 8
VASP calculation (PBE-GGA) on a relaxed Sr2ZrSb3Pt4 crystal.

a b c (Å): 4.565 4.565 11.277
angles (deg): 90.00 90.00 90.00
Element x y z (fractional)
Sr1 0.000 0.500 0.233
Sr2 0.500 0.000 0.767
Zr1 0.000 0.000 0.500
Sb1 0.000 0.500 0.870
Sb2 0.500 0.000 0.130
Sb3 0.500 0.500 0.500
Pt1 0.000 0.000 0.000
Pt2 0.000 0.500 0.635
Pt3 0.500 0.000 0.365
Pt4 0.500 0.500 0.000

Calculated values
Volume in Å³ per atom: 23.50
Energy relative to the elements, uncorrected in eV per atom: -0.84


Table of final energy (eV/atom), in record order: -4.113, -5.344, -5.088, -5.425, -5.530, -4.911, -4.639, -5.682